A relaxed Tl2V3O8 crystal, computed with PBE with a Hubbard U.

Calculated values
Excess energy over the best structure of this formula in the dataset   0.174 eV/atom
Energy   -6.67 eV/atom

Cell lengths 4.9229, 7.8033, 7.8033 Å; angles 56.98, 72.59, 72.59 degrees
Last column: magnetic moment on the atom in μB.
Fractional positions:
O (0.9443, 0.4177, 0.4177)  0.00
O (0.2014, 0.1188, 0.1188)  -0.09
O (0.7986, 0.8812, 0.8812)  -0.09
O (0.6971, 0.8620, 0.2613)  -0.01
V (0.0000, 0.3192, 0.6808)  0.05
O (0.3029, 0.1380, 0.7387)  -0.01
O (0.6971, 0.2613, 0.8620)  -0.01
O (0.3029, 0.7387, 0.1380)  -0.01
O (0.0557, 0.5823, 0.5823)  0.00
Tl (0.2920, 0.7618, 0.7618)  -0.01
Tl (0.7080, 0.2382, 0.2382)  -0.01
V (0.5000, 0.0000, 0.0000)  1.07
V (0.0000, 0.6808, 0.3192)  0.05